# Pm2Sb4Ir3Pd

A relaxed structure of Pm2Sb4Ir3Pd (PBE-GGA, Alexandria).

The calculation puts the energy relative to the elements, uncorrected at -648 meV/atom. For the total magnetization, the calculation gives 0.00 μB per cell.

The space group is P-4m2 (No. 115) and the conventional cell measures 4.586, 4.586 and 10.473 Å, with angles of 90.00, 90.00 and 90.00 degrees. The distinct sites, in fractional coordinates, are Pm at (0.000, 0.500, 0.243), Sb at (0.000, 0.000, 0.500), Sb at (0.000, 0.500, 0.868), Sb at (0.500, 0.500, 0.500), Ir at (0.000, 0.000, 0.000), Ir at (0.000, 0.500, 0.622) and Pd at (0.500, 0.500, 0.000).